Computed, not measured: an optimized crystal structure of Dy2MgCu2 at the PBE level of DFT.

Cell and atoms, written as extended XYZ:
```
10
Lattice="7.5823 0.0000 0.0000 0.0000 7.5823 0.0000 0.0000 0.0000 3.7147" Properties=species:S:1:pos:R:3 pbc="T T T"
Dy 1.2810 2.5101 1.8573
Dy 6.3012 5.0722 1.8573
Dy 2.5101 6.3012 1.8573
Dy 5.0722 1.2810 1.8573
Cu 4.7304 6.6430 0.0000
Cu 6.6430 2.8519 0.0000
Cu 0.9393 4.7304 0.0000
Cu 2.8519 0.9393 0.0000
Mg 3.7911 3.7911 0.0000
Mg 0.0000 0.0000 0.0000
```

Computed, not measured: an optimized crystal structure of TlCuNiPd at the PBE level of DFT.

Cell and atoms, written as extended XYZ:
```
4
Lattice="2.2045 0.0201 3.8308 -2.1262 -0.8615 3.7778 0.7462 -3.7944 2.1402" Properties=species:S:1:pos:R:3 pbc="T T T"
Cu 0.4122 -2.3179 4.8744
Ni 0.6183 -3.4769 7.3116
Pd 0.2061 -1.1590 2.4372
Tl 0.0000 0.0000 0.0000
```

Computed, not measured: an optimized crystal structure of LaSmNi2Ge4 at the PBE level of DFT.

Cell and atoms, written as extended XYZ:
```
8
Lattice="-3.4927 1.8539 -1.5778 -0.6010 4.9441 7.1394 1.8255 7.2433 4.4697" Properties=species:S:1:pos:R:3 pbc="T T T"
La -0.6540 11.7987 9.5669
Ge 0.5612 5.5857 5.3206
Ge -1.4406 3.9702 2.1100
Ge 0.9170 9.1265 8.6934
Ge -1.0811 7.5481 5.5181
Ni -0.9120 9.2308 7.1209
Ni 0.3895 3.8768 3.6928
Sm 0.1327 1.3205 1.2579
```

Computed, not measured: an optimized crystal structure of CsCdNiSe3 at the PBE level of DFT.

Cell and atoms, written as extended XYZ:
```
12
Lattice="1.9458 -8.0229 0.0000 1.9458 8.0229 0.0000 0.0000 0.0000 11.1214" Properties=species:S:1:pos:R:3 pbc="T T T"
Cs 1.9458 -4.0307 2.7803
Cs 1.9458 4.0307 8.3410
Se 1.9458 -6.5141 5.8595
Se 1.9458 6.5141 5.2619
Se 1.9458 -1.0970 8.3410
Se 1.9458 -6.5141 10.8226
Se 1.9458 1.0970 2.7803
Se 1.9458 6.5141 0.2988
Cd 1.9458 -7.3894 8.3410
Cd 1.9458 7.3894 2.7803
Ni 1.9458 0.0000 5.5607
Ni 1.9458 0.0000 0.0000
```

The records above yield calculated total energy values of -3.882; -4.148; -5.667; -3.402 eV per atom, respectively.
The records above yield M_tot values of 0.0; 0.0; 0.0; 0.0 μB per formula unit, respectively.